[1]
# AcGaHg

A relaxed structure of AcGaHg (PBE, the Alexandria database).

Computed properties:
E	-0.204	Ry per atom
N(E_F)	0.8809	states/eV per atom
offset from the most stable computed form	22.16	kJ/mol of atoms

Lattice parameters (Å, degrees): 3.796 3.796 11.600 90.00 90.00 90.00
Space group I4mm (No. 107)
One atom of each set of equivalent atoms:
Ac  0.000  0.000  0.000 (multiplicity 2)
Ga  0.000  0.000  0.319 (multiplicity 2)
Hg  0.000  0.000  0.689 (multiplicity 2)


[2]
# AcGaHg2

A relaxed structure of AcGaHg2 (PBE, the Alexandria database).

Computed properties:
E	-0.173	Ry per atom
N(E_F)	0.5451	states/eV per atom

Lattice parameters (Å, degrees): 4.754 18.275 9.822 90.00 90.00 90.00
Space group Cmcm (No. 63)
One atom of each set of equivalent atoms:
Ac  0.000  0.000  0.000 (multiplicity 4)
Ac  0.000  0.208  0.250 (multiplicity 4)
Ga  0.000  0.353  0.524 (multiplicity 8)
Hg  0.000  0.187  0.596 (multiplicity 8)
Hg  0.000  0.408  0.250 (multiplicity 4)
Hg  0.000  0.437  0.750 (multiplicity 4)


[3]
# Ac4Ga2Hg5

A relaxed structure of Ac4Ga2Hg5 (PBE, the Alexandria database).

Computed properties:
E	-0.193	Ry per atom
N(E_F)	0.8200	states/eV per atom

Lattice parameters (Å, degrees): 8.312 4.181 9.748 90.00 93.47 90.00
Space group P2/m (No. 10)
One atom of each set of equivalent atoms:
Ac  0.212  0.000  0.144 (multiplicity 2)
Ac  0.255  0.000  0.619 (multiplicity 2)
Ga  0.066  0.500  0.384 (multiplicity 2)
Hg  0.125  0.500  0.874 (multiplicity 2)
Hg  0.413  0.500  0.361 (multiplicity 2)
Hg  0.500  0.500  0.000 (multiplicity 1)


[4]
# AcGaHg2

A relaxed structure of AcGaHg2 (PBE, the Alexandria database).

Computed properties:
E	-0.161	Ry per atom
N(E_F)	0.7669	states/eV per atom

Lattice parameters (Å, degrees): 3.954 3.954 7.081 90.00 90.00 90.00
Space group P4/mmm (No. 123)
One atom of each set of equivalent atoms:
Ac  0.000  0.000  0.000 (multiplicity 1)
Ga  0.000  0.000  0.500 (multiplicity 1)
Hg  0.500  0.500  0.281 (multiplicity 2)


[5]
# AcGa4Hg

A relaxed structure of AcGa4Hg (PBE, the Alexandria database).

Computed properties:
E	-0.220	Ry per atom
N(E_F)	0.3698	states/eV per atom

Lattice parameters (Å, degrees): 8.300 15.960 4.281 90.00 90.00 90.00
Space group Pbam (No. 55)
One atom of each set of equivalent atoms:
Ac  0.133  0.150  0.000 (multiplicity 4)
Ga  0.013  0.694  0.500 (multiplicity 4)
Ga  0.115  0.548  0.500 (multiplicity 4)
Ga  0.130  0.965  0.500 (multiplicity 4)
Ga  0.203  0.809  0.500 (multiplicity 4)
Hg  0.153  0.405  0.000 (multiplicity 4)


[6]
# Ac2GaHg

A relaxed structure of Ac2GaHg (PBE, the Alexandria database).

Computed properties:
E	-0.207	Ry per atom
N(E_F)	1.1925	states/eV per atom

Lattice parameters (Å, degrees): 3.8611 3.8611 35.1179 90.00 90.00 120.00
Space group R-3m (No. 166, hexagonal axes)
One atom of each set of equivalent atoms:
Ac  0.0000  0.0000  0.0932 (multiplicity 6)
Ga  0.0000  0.0000  0.0000 (multiplicity 3)
Hg  0.0000  0.0000  0.5000 (multiplicity 3)


[7]
# Ac2Ga5Hg

A relaxed structure of Ac2Ga5Hg (PBE, the Alexandria database).

Computed properties:
E	-0.247	Ry per atom
N(E_F)	0.3319	states/eV per atom

Lattice parameters (Å, degrees): 6.554 6.554 9.597 90.00 90.00 90.00
Space group I4mm (No. 107)
One atom of each set of equivalent atoms:
Ac  0.000  0.500  0.000 (multiplicity 4)
Ga  0.000  0.000  0.030 (multiplicity 2)
Ga  0.200  0.200  0.250 (multiplicity 8)
Hg  0.000  0.000  0.698 (multiplicity 2)


[8]
# Ac6Ga3Hg

A relaxed structure of Ac6Ga3Hg (PBE, the Alexandria database).

Computed properties:
E	-0.269	Ry per atom
N(E_F)	0.9906	states/eV per atom

Lattice parameters (Å, degrees): 8.106 8.728 12.978 90.00 126.81 90.00
Space group P2_1/c (No. 14)
One atom of each set of equivalent atoms:
Ac  0.025  0.090  0.246 (multiplicity 4)
Ac  0.215  0.675  0.066 (multiplicity 4)
Ac  0.406  0.164  0.071 (multiplicity 4)
Ga  0.000  0.000  0.000 (multiplicity 2)
Ga  0.304  0.133  0.750 (multiplicity 4)
Hg  0.500  0.000  0.500 (multiplicity 2)


Number 1: formation energy -293 meV per atom. Number 2: formation energy -421 meV per atom. Number 3: formation energy -448 meV per atom. Number 4: formation energy -252 meV per atom. Number 5: formation energy -234 meV per atom. Number 6: formation energy 75 meV per atom. Number 7: formation energy -408 meV per atom. Number 8: formation energy -251 meV per atom.